# 1
The following is a PBEsol calculation of an optimized crystal structure of Nb3NiOs, from Alexandria.

Cell lengths 4.483, 4.483, 4.483 Å; angles 90.00, 90.00, 90.00 degrees
Space group Pm-3m (No. 221)
One atom of each set of equivalent atoms:
Nb  0.000  0.000  0.500
Ni  0.000  0.000  0.000
Os  0.500  0.500  0.500

Results
Formation energy from the elements (eV/f.u.): 5.55

# 2
The following is a PBEsol calculation of an optimized crystal structure of NbNiOsPd2, from Alexandria.

Cell lengths 4.363, 4.363, 4.359 Å; angles 90.00, 90.00, 90.00 degrees
Space group P4/mmm (No. 123)
One atom of each set of equivalent atoms:
Nb  0.000  0.000  0.000
Ni  0.000  0.000  0.500
Os  0.500  0.500  0.000
Pd  0.000  0.500  0.500

Results
Formation energy from the elements (eV/f.u.): 6.06

# 3
The following is a PBEsol calculation of an optimized crystal structure of Nb4NiP, from Alexandria.

Cell lengths 6.114, 6.114, 4.944 Å; angles 90.00, 90.00, 90.00 degrees
Space group P4/mcc (No. 124)
One atom of each set of equivalent atoms:
Nb  0.161  0.338  0.000
Ni  0.500  0.500  0.250
P  0.000  0.000  0.250

Results
Formation energy from the elements (eV/f.u.): -2.91

# 4
The following is a PBEsol calculation of an optimized crystal structure of Nb3NiP, from Alexandria.

Cell lengths 4.528, 4.528, 4.528 Å; angles 90.00, 90.00, 90.00 degrees
Space group Pm-3m (No. 221)
One atom of each set of equivalent atoms:
Nb  0.000  0.000  0.500
Ni  0.500  0.500  0.500
P  0.000  0.000  0.000

Results
Formation energy from the elements (eV/f.u.): 2.67

# 5
The following is a PBEsol calculation of an optimized crystal structure of NbNiP, from Alexandria.

Cell lengths 6.078, 3.574, 7.035 Å; angles 90.00, 90.00, 90.00 degrees
Space group Pnma (No. 62)
One atom of each set of equivalent atoms:
Nb  0.021  0.250  0.168
Ni  0.150  0.250  0.567
P  0.218  0.750  0.379

Results
Formation energy from the elements (eV/f.u.): -2.79

# 6
The following is a PBEsol calculation of an optimized crystal structure of Nb5Ni4P4, from Alexandria.

Cell lengths 9.893, 9.893, 3.501 Å; angles 90.00, 90.00, 90.00 degrees
Space group I4/m (No. 87)
One atom of each set of equivalent atoms:
Nb  0.000  0.000  0.000
Nb  0.131  0.195  0.500
Ni  0.084  0.609  0.500
P  0.056  0.740  0.000

Results
Formation energy from the elements (eV/f.u.): -12.07

# 7
The following is a PBEsol calculation of an optimized crystal structure of Nb2Ni2Pd, from Alexandria.

Cell lengths 6.658, 6.658, 3.215 Å; angles 90.00, 90.00, 90.00 degrees
Space group P4/mbm (No. 127)
One atom of each set of equivalent atoms:
Nb  0.174  0.326  0.000
Ni  0.126  0.626  0.500
Pd  0.000  0.000  0.500

Results
Formation energy from the elements (eV/f.u.): -1.15

# 8
The following is a PBEsol calculation of an optimized crystal structure of NbNiPt3, from Alexandria.

Cell lengths 4.440, 4.440, 4.440 Å; angles 90.00, 90.00, 90.00 degrees
Space group Pm-3m (No. 221)
One atom of each set of equivalent atoms:
Nb  0.000  0.000  0.000
Ni  0.500  0.500  0.500
Pt  0.000  0.500  0.500

Results
Formation energy from the elements (eV/f.u.): 4.71

# 9
The following is a PBEsol calculation of an optimized crystal structure of Nb2Ni2Pt, from Alexandria.

Cell lengths 6.588, 6.588, 3.278 Å; angles 90.00, 90.00, 90.00 degrees
Space group P4/mbm (No. 127)
One atom of each set of equivalent atoms:
Nb  0.175  0.325  0.000
Ni  0.127  0.627  0.500
Pt  0.000  0.000  0.500

Results
Formation energy from the elements (eV/f.u.): -1.86

# 10
The following is a PBEsol calculation of an optimized crystal structure of Nb2Ni2Rh, from Alexandria.

Cell lengths 6.670, 6.670, 3.145 Å; angles 90.00, 90.00, 90.00 degrees
Space group P4/mbm (No. 127)
One atom of each set of equivalent atoms:
Nb  0.177  0.323  0.000
Ni  0.125  0.625  0.500
Rh  0.000  0.000  0.500

Results
Formation energy from the elements (eV/f.u.): -1.42

# 11
The following is a PBEsol calculation of an optimized crystal structure of Nb4NiS8, from Alexandria.

Cell lengths 6.6123, 6.6123, 11.5461 Å; angles 90.00, 90.00, 120.00 degrees
Space group P6_3/mmc (No. 194)
One atom of each set of equivalent atoms:
Nb  0.0000  0.0000  0.2500
Nb  0.0132  0.5066  0.2500
Ni  0.0000  0.0000  0.0000
S  0.1674  0.3347  0.6160
S  0.3333  0.6667  0.1093

Results
E_form (uncorrected) (eV/atom): -1.10

# 12
The following is a PBEsol calculation of an optimized crystal structure of Nb3NiS, from Alexandria.

Cell lengths 4.491, 4.491, 4.491 Å; angles 90.00, 90.00, 90.00 degrees
Space group Pm-3m (No. 221)
One atom of each set of equivalent atoms:
Nb  0.000  0.000  0.500
Ni  0.500  0.500  0.500
S  0.000  0.000  0.000

Results
E_form (uncorrected) (eV/atom): 0.41